1.
## Ac12Cu3Ru5 (GGA-PBE)

Data for crystalline Ac12Cu3Ru5 at its relaxed geometry.

Computed properties:
Final energy = -851.90 eV per cell
Crystal system = cubic
V = 5659.8 Å³ per cell

CIF file:
```
data_Ac12Cu3Ru5
_space_group_name_H-M_alt 'I a -3 d'
_space_group_IT_number 230
_space_group_name_Hall '-I 4bd 2c 3'
_cell_length_a 17.821
_cell_length_b 17.821
_cell_length_c 17.821
_cell_angle_alpha 90.00
_cell_angle_beta 90.00
_cell_angle_gamma 90.00
loop_
_atom_site_label
_atom_site_type_symbol
_atom_site_fract_x
_atom_site_fract_y
_atom_site_fract_z
Ac1 Ac 0.028 0.059 0.651
Cu1 Cu 0.000 0.250 0.125
Ru1 Ru 0.000 0.000 0.000
Ru2 Ru 0.000 0.250 0.375
```


2.
## LaTbPrZn (GGA-PBE)

Data for crystalline LaTbPrZn at its relaxed geometry.

Computed properties:
Final energy = -62.04 eV per cell
Crystal system = cubic
Energy relative to the lowest polymorph listed for this composition = 0.177 eV per atom
V = 475.2 Å³ per cell

CIF file:
```
data_LaTbPrZn
_space_group_name_H-M_alt 'F -4 3 m'
_space_group_IT_number 216
_space_group_name_Hall 'F -4 2 3'
_cell_length_a 7.803
_cell_length_b 7.803
_cell_length_c 7.803
_cell_angle_alpha 90.00
_cell_angle_beta 90.00
_cell_angle_gamma 90.00
loop_
_atom_site_label
_atom_site_type_symbol
_atom_site_fract_x
_atom_site_fract_y
_atom_site_fract_z
La1 La 0.000 0.000 0.000
Tb1 Tb 0.250 0.250 0.250
Pr1 Pr 0.000 0.000 0.500
Zn1 Zn 0.250 0.250 0.750
```


3.
## Sm4CuRu (GGA-PBE)

Data for crystalline Sm4CuRu at its relaxed geometry.

Computed properties:
Final energy = -530.87 eV per cell
Crystal system = cubic
Energy relative to the lowest polymorph listed for this composition = 0.000 eV per atom
V = 2533.9 Å³ per cell

CIF file:
```
data_Sm4CuRu
_space_group_name_H-M_alt 'F -4 3 m'
_space_group_IT_number 216
_space_group_name_Hall 'F -4 2 3'
_cell_length_a 13.633
_cell_length_b 13.633
_cell_length_c 13.633
_cell_angle_alpha 90.00
_cell_angle_beta 90.00
_cell_angle_gamma 90.00
loop_
_atom_site_label
_atom_site_type_symbol
_atom_site_fract_x
_atom_site_fract_y
_atom_site_fract_z
Sm1 Sm 0.000 0.000 0.188
Sm2 Sm 0.058 0.250 0.250
Sm3 Sm 0.101 0.101 0.601
Cu1 Cu 0.163 0.163 0.837
Ru1 Ru 0.111 0.111 0.389
```


4.
## ZnIn3Sn (GGA-PBE)

Data for crystalline ZnIn3Sn at its relaxed geometry.

Computed properties:
Final energy = -52.76 eV per cell
Crystal system = monoclinic
Energy relative to the lowest polymorph listed for this composition = 0.000 eV per atom
V = 508.1 Å³ per cell

CIF file:
```
data_ZnIn3Sn
_space_group_name_H-M_alt 'P 1 21/c 1'
_space_group_IT_number 14
_cell_length_a 8.823
_cell_length_b 5.576
_cell_length_c 10.490
_cell_angle_alpha 90.00
_cell_angle_beta 100.13
_cell_angle_gamma 90.00
loop_
_space_group_symop_operation_xyz
'x,y,z'
'-x,-y,-z'
'-x,y+1/2,-z+1/2'
'x,-y+1/2,z+1/2'
loop_
_atom_site_label
_atom_site_type_symbol
_atom_site_fract_x
_atom_site_fract_y
_atom_site_fract_z
Zn1 Zn 0.072 0.144 0.087
In1 In 0.021 0.635 0.163
In2 In 0.320 0.503 0.397
In3 In 0.329 0.000 0.551
Sn1 Sn 0.362 0.506 0.734
```


Repeat the second record exactly.
## LaTbPrZn (GGA-PBE)

Data for crystalline LaTbPrZn at its relaxed geometry.

Computed properties:
Final energy = -62.04 eV per cell
Crystal system = cubic
Energy relative to the lowest polymorph listed for this composition = 0.177 eV per atom
V = 475.2 Å³ per cell

CIF file:
```
data_LaTbPrZn
_space_group_name_H-M_alt 'F -4 3 m'
_space_group_IT_number 216
_space_group_name_Hall 'F -4 2 3'
_cell_length_a 7.803
_cell_length_b 7.803
_cell_length_c 7.803
_cell_angle_alpha 90.00
_cell_angle_beta 90.00
_cell_angle_gamma 90.00
loop_
_atom_site_label
_atom_site_type_symbol
_atom_site_fract_x
_atom_site_fract_y
_atom_site_fract_z
La1 La 0.000 0.000 0.000
Tb1 Tb 0.250 0.250 0.250
Pr1 Pr 0.000 0.000 0.500
Zn1 Zn 0.250 0.250 0.750
```